(1)
Density functional theory data (PBE-GGA) for KCd10Pb after structural relaxation.

Calculated values
M_tot (μB per cell): 0.00
N(E_F) (states/eV per atom): 0.408
E_form (eV per atom): 0.004

a b c (Å): 4.8691 6.1610 10.5090
angles (deg): 90.00 90.00 90.00
Last column: nearest neighbours and their distance in Å.
Space group Pmmm (No. 47)
Inequivalent atoms, fractional coordinates:
K1 0.0000 0.0000 0.0000 x1  18 Cd 3.58-3.93
Cd1 0.0000 0.0000 0.3414 x2  6 Cd 2.95-3.03
Cd2 0.0000 0.5000 0.1745 x2  6 Cd 2.99-3.05
Cd3 0.5000 0.0000 0.5000 x1  8 Cd 2.95-3.04
Cd4 0.5000 0.2484 0.2498 x4  8 Cd 2.99-3.10
Cd5 0.5000 0.5000 0.0000 x1  8 Cd 3.05
Pb1 0.0000 0.5000 0.5000 x1  6 Cd 3.42-3.50

(2)
Density functional theory data (PBE-GGA) for KCd2Pb6 after structural relaxation.

Calculated values
M_tot (μB per cell): 0.00
Energy relative to the lowest polymorph listed for this composition (meV/atom): 0.0
N(E_F) (states/eV per atom): 0.343
E_form (eV per atom): -0.039

a b c (Å): 4.9987 4.9987 11.7029
angles (deg): 90.00 90.00 90.00
Last column: nearest neighbours and their distance in Å.
Space group P4/mmm (No. 123)
Inequivalent atoms, fractional coordinates:
K1 0.0000 0.0000 0.0000 x1  8 Cd 3.80, 8 Pb 4.19
Cd1 0.5000 0.5000 0.1201 x2  1 Cd 2.81
Pb1 0.0000 0.0000 0.5000 x1  12 Pb 3.52-3.53
Pb2 0.0000 0.5000 0.2877 x4  2 Cd 3.18, 8 Pb 3.52-3.53
Pb3 0.5000 0.5000 0.5000 x1  12 Pb 3.52-3.53

(3)
Density functional theory data (PBE-GGA) for K4CdPb4 after structural relaxation.

Calculated values
M_tot (μB per cell): 0.00
N(E_F) (states/eV per atom): 0.544
E_form (eV per atom): 0.067

a b c (Å): 6.9474 6.9474 15.8624
angles (deg): 90.00 90.00 90.00
Last column: nearest neighbours and their distance in Å.
Space group I-42m (No. 121)
Inequivalent atoms, fractional coordinates:
K1 0.1830 0.1830 0.3889 x8  5 Pb 3.56-3.89, 1 Cd 3.58, 1 K 3.60
Cd1 0.0000 0.0000 0.0000 x2  4 Pb 3.06
Pb1 0.1602 0.1602 0.1651 x8  1 Cd 3.06, 1 Pb 3.15

(4)
Density functional theory data (PBE-GGA) for K2CdPb after structural relaxation.

Calculated values
M_tot (μB per cell): 0.00
N(E_F) (states/eV per atom): 0.954
E_form (eV per atom): 0.087

a b c (Å): 9.8586 9.8586 6.5659
angles (deg): 90.00 90.00 90.00
Last column: nearest neighbours and their distance in Å.
Space group I-42d (No. 122)
Inequivalent atoms, fractional coordinates:
K1 0.2369 0.2500 0.1250 x8  2 K 3.29, 2 Cd 3.49, 2 Pb 3.67
Cd1 0.0000 0.0000 0.0000 x4  2 Pb 3.28, 4 K 3.49
Pb1 0.0000 0.0000 0.5000 x4  2 Cd 3.28, 4 K 3.67

(5)
Density functional theory data (PBE-GGA) for K2CdPb after structural relaxation.

Calculated values
M_tot (μB per cell): 0.29
N(E_F) (states/eV per atom): 0.825
E_form (eV per atom): 0.062

a b c (Å): 3.8066 3.8066 36.5216
angles (deg): 90.00 90.00 120.00
Last column: nearest neighbours and their distance in Å.
Space group R-3m (No. 166, hexagonal axes)
Inequivalent atoms, fractional coordinates:
K1 0.0000 0.0000 0.2482 x6  3 Pb 3.70, 6 K 3.81, 3 Cd 3.81
Cd1 0.0000 0.0000 0.0000 x3  6 Cd 3.81, 6 K 3.81
Pb1 0.0000 0.0000 0.5000 x3  6 K 3.70, 6 Pb 3.81

(6)
Density functional theory data (PBE-GGA) for KCd3Pb9 after structural relaxation.

Calculated values
M_tot (μB per cell): 0.00
N(E_F) (states/eV per atom): 0.477
E_form (eV per atom): -0.016

a b c (Å): 6.1945 16.8102 8.3624
angles (deg): 90.00 109.35 90.00
Last column: nearest neighbours and their distance in Å.
Space group C2/m (No. 12)
Inequivalent atoms, fractional coordinates:
K1 0.0000 0.0000 0.0000 x2  14 Pb 3.97-4.18, 2 Cd 4.30
Cd1 0.0000 0.5000 0.5000 x2  6 Pb 3.10-3.25
Cd2 0.2500 0.2500 0.0000 x4  2 Cd 3.10, 8 Pb 3.26-3.44
Pb1 0.0000 0.0000 0.5000 x2  2 Cd 3.10, 4 Pb 3.37
Pb2 0.1028 0.3886 0.2155 x8  3 Cd 3.25-3.29, 5 Pb 3.37-3.60
Pb3 0.1703 0.1791 0.3527 x8  6 Pb 3.33-3.68, 3 Cd 3.37-3.62

(7)
Density functional theory data (PBE-GGA) for K2Cd16Pb after structural relaxation.

Calculated values
M_tot (μB per cell): 0.00
N(E_F) (states/eV per atom): 0.373
E_form (eV per atom): -0.058

a b c (Å): 10.5544 10.5544 15.0960
angles (deg): 90.00 90.00 120.00
Last column: nearest neighbours and their distance in Å.
Space group R3m (No. 160, hexagonal axes)
Inequivalent atoms, fractional coordinates:
K1 0.0000 0.0000 0.0000 x3  1 Pb 3.62, 15 Cd 3.67-3.98
K2 0.0000 0.0000 0.3187 x3  19 Cd 3.57-3.97
Cd1 0.0000 0.0000 0.5550 x3  6 Cd 3.09-3.35, 1 Pb 3.09
Cd2 0.0015 0.3033 0.6595 x18  8 Cd 2.99-3.22
Cd3 0.0096 0.5048 0.8102 x9  8 Cd 2.97-3.21
Cd4 0.0112 0.5056 0.1588 x9  9 Cd 2.99-3.18, 1 Pb 3.30
Cd5 0.1742 0.3484 0.8421 x9  8 Cd 2.97-3.21
Pb1 0.0000 0.0000 0.7600 x3  7 Cd 3.09-3.42

(8)
Density functional theory data (PBE-GGA) for KCdPb3 after structural relaxation.

Calculated values
M_tot (μB per cell): 0.00
Energy relative to the lowest polymorph listed for this composition (meV/atom): 1000.2
N(E_F) (states/eV per atom): 1.068
E_form (eV per atom): 0.918

a b c (Å): 6.0512 6.0512 6.0512
angles (deg): 90.00 90.00 90.00
Last column: nearest neighbours and their distance in Å.
Space group Pm-3m (No. 221)
Inequivalent atoms, fractional coordinates:
K1 0.0000 0.0000 0.0000 x1  6 Pb 3.03
Cd1 0.5000 0.5000 0.5000 x1  12 Pb 4.28
Pb1 0.0000 0.0000 0.5000 x3  2 K 3.03

(9)
Density functional theory data (PBE-GGA) for K3Cd2Pb2 after structural relaxation.

Calculated values
M_tot (μB per cell): 0.00
N(E_F) (states/eV per atom): 0.453
E_form (eV per atom): -0.105

a b c (Å): 5.4252 5.4252 28.0623
angles (deg): 90.00 90.00 120.00
Last column: nearest neighbours and their distance in Å.
Space group R-3m (No. 166, hexagonal axes)
Inequivalent atoms, fractional coordinates:
K1 0.0000 0.0000 0.0000 x3  6 Cd 3.52, 6 Pb 3.68, 2 K 3.82
K2 0.0000 0.0000 0.1360 x6  4 K 3.58-3.82, 3 Pb 3.66, 4 Cd 3.83-3.93
Cd1 0.0000 0.0000 0.2760 x6  3 Pb 3.15, 3 K 3.52
Pb1 0.0000 0.0000 0.4019 x6  3 Cd 3.15

(10)
Density functional theory data (PBE-GGA) for K2CdPb after structural relaxation.

Calculated values
M_tot (μB per cell): 0.00
N(E_F) (states/eV per atom): 0.734
E_form (eV per atom): -0.025

a b c (Å): 4.1395 4.1395 9.9809
angles (deg): 90.00 90.00 90.00
Last column: nearest neighbours and their distance in Å.
Space group P4mm (No. 99)
Inequivalent atoms, fractional coordinates:
K1 0.0000 0.0000 0.0000 x1  1 Pb 3.67, 4 Cd 3.75
K2 0.5000 0.5000 0.3852 x1  1 Cd 3.79, 4 Pb 3.83, 4 K 4.14
Cd1 0.5000 0.5000 0.7653 x1  4 Pb 3.21
Pb1 0.0000 0.0000 0.6327 x1  4 Cd 3.21

(11)
Density functional theory data (PBE-GGA) for K2Cd6Pb3 after structural relaxation.

Calculated values
M_tot (μB per cell): 0.00
N(E_F) (states/eV per atom): 0.426
E_form (eV per atom): -0.004

a b c (Å): 11.9990 13.1424 4.7900
angles (deg): 90.00 90.00 90.00
Last column: nearest neighbours and their distance in Å.
Space group Cmmm (No. 65)
Inequivalent atoms, fractional coordinates:
K1 0.0000 0.2157 0.0000 x4  8 Cd 3.82-3.96
Cd1 0.1151 0.0000 0.5000 x4  3 Cd 2.76-2.98
Cd2 0.2021 0.3462 0.5000 x8  2 Cd 2.78-2.98
Pb1 0.0000 0.5000 0.5000 x2  4 Cd 3.16, 4 Pb 3.46
Pb2 0.2081 0.5000 0.0000 x4  6 Cd 3.13-3.20, 2 Pb 3.46

(12)
Density functional theory data (PBE-GGA) for K3Cd9Pb2 after structural relaxation.

Calculated values
M_tot (μB per cell): 0.00
N(E_F) (states/eV per atom): 0.425
E_form (eV per atom): -0.079

a b c (Å): 5.2295 10.2983 15.4459
angles (deg): 90.00 90.00 90.00
Last column: nearest neighbours and their distance in Å.
Space group Immm (No. 71)
Inequivalent atoms, fractional coordinates:
K1 0.0000 0.0000 0.0000 x2  12 Cd 3.69-3.98
K2 0.0000 0.0000 0.2945 x4  12 Cd 3.54-3.82, 2 Pb 3.71
Cd1 0.0000 0.2897 0.1404 x8  4 Cd 3.03-3.07
Cd2 0.0000 0.3559 0.3315 x8  4 Cd 2.97-3.04, 1 Pb 3.13
Cd3 0.0000 0.5000 0.0000 x2  4 Cd 3.07, 4 Pb 3.25
Pb1 0.0000 0.1874 0.5000 x4  8 Cd 3.13-3.41

(13)
Density functional theory data (PBE-GGA) for K8CdPb2 after structural relaxation.

Calculated values
M_tot (μB per cell): 2.28
N(E_F) (states/eV per atom): 0.818
E_form (eV per atom): -0.038

a b c (Å): 6.1253 9.8237 17.6732
angles (deg): 90.00 90.00 90.00
Last column: nearest neighbours and their distance in Å.
Space group Immm (No. 71)
Inequivalent atoms, fractional coordinates:
K1 0.0000 0.0000 0.1585 x4  8 K 3.86-4.14, 2 Pb 4.06, 2 Cd 4.15
K2 0.0000 0.2188 0.3400 x8  3 Pb 3.78-3.82, 5 K 3.86-4.18, 1 Cd 3.95
K3 0.0000 0.3108 0.0000 x4  3 K 3.72-4.14, 2 Pb 3.85
Cd1 0.0000 0.5000 0.5000 x2  12 K 3.95-4.32
Pb1 0.0000 0.5000 0.1909 x4  10 K 3.78-4.06

(14)
Density functional theory data (PBE-GGA) for K2Cd7Pb12 after structural relaxation.

Calculated values
M_tot (μB per cell): 0.00
N(E_F) (states/eV per atom): 0.583
E_form (eV per atom): 0.011

a b c (Å): 14.2463 14.2463 3.6113
angles (deg): 90.00 90.00 120.00
Last column: nearest neighbours and their distance in Å.
Space group P-3 (No. 147)
Inequivalent atoms, fractional coordinates:
K1 0.3333 0.6667 0.2437 x2  2 K 3.61, 6 Cd 3.70-3.72, 6 Pb 3.75-3.77
Cd1 0.0000 0.0000 0.5000 x1  6 Pb 3.23, 2 Cd 3.61
Cd2 0.1220 0.4260 0.7378 x6  6 Pb 3.19-3.32
Pb1 0.0869 0.6325 0.7507 x6  4 Cd 3.19-3.32, 2 Pb 3.49-3.54
Pb2 0.0963 0.8485 0.2367 x6  4 Cd 3.23-3.58, 6 Pb 3.49-3.61

(15)
Density functional theory data (PBE-GGA) for KCd4Pb2 after structural relaxation.

Calculated values
M_tot (μB per cell): 0.00
N(E_F) (states/eV per atom): 0.392
E_form (eV per atom): -0.046

a b c (Å): 4.7712 18.2508 4.7292
angles (deg): 90.00 90.00 90.00
Last column: nearest neighbours and their distance in Å.
Space group Cmmm (No. 65)
Inequivalent atoms, fractional coordinates:
K1 0.0000 0.0000 0.0000 x2  8 Pb 3.74
Cd1 0.0000 0.1934 0.5000 x4  2 Pb 3.05, 8 Cd 3.12-3.36
Cd2 0.0000 0.3046 0.0000 x4  2 Pb 3.05, 8 Cd 3.11-3.36
Pb1 0.0000 0.4103 0.5000 x4  4 Cd 3.05, 1 Pb 3.27

(16)
Density functional theory data (PBE-GGA) for K2CdPb after structural relaxation.

Calculated values
M_tot (μB per cell): 0.00
N(E_F) (states/eV per atom): 0.602
E_form (eV per atom): 0.002

a b c (Å): 3.8702 5.6074 6.8148
angles (deg): 90.00 90.58 90.00
Last column: nearest neighbours and their distance in Å.
Space group P2/m (No. 10)
Inequivalent atoms, fractional coordinates:
K1 0.0050 0.0000 0.2440 x2  2 K 3.33-3.49
Cd1 0.5000 0.5000 0.5000 x1  2 Pb 3.41, 4 K 3.81
Pb1 0.5000 0.5000 0.0000 x1  2 Cd 3.41, 8 K 3.79

(17)
Density functional theory data (PBE-GGA) for K17Cd11Pb after structural relaxation.

Calculated values
M_tot (μB per cell): 0.00
N(E_F) (states/eV per atom): 0.701
E_form (eV per atom): -0.020

a b c (Å): 13.3872 19.0888 11.3457
angles (deg): 90.00 124.58 90.00
Last column: nearest neighbours and their distance in Å.
Space group Cm (No. 8)
Inequivalent atoms, fractional coordinates:
K1 0.0000 0.0000 0.0000 x2  7 K 3.77-4.17, 4 Cd 3.82-4.05, 1 Pb 3.85
K2 0.0005 0.0000 0.4168 x2  6 Cd 3.66-3.72, 4 K 3.72-3.87
K3 0.1126 0.2080 0.0537 x4  7 K 3.82-4.18, 5 Cd 3.93-4.10
K4 0.2389 0.5000 0.4687 x2  7 K 3.87-4.18, 5 Cd 3.88-4.07
K5 0.2604 0.3515 0.7406 x4  7 K 3.72-4.14, 3 Cd 3.84-4.13, 1 Pb 3.91
K6 0.3204 0.0000 0.0988 x2  4 K 3.74-3.99, 6 Cd 3.83-3.85
K7 0.3265 0.0000 0.7516 x2  11 Cd 3.72-3.90, 4 K 3.73-3.99, 1 Pb 3.94
K8 0.3314 0.2924 0.4559 x4  7 K 3.74-4.18, 4 Cd 3.82-4.10
K9 0.3753 0.3559 0.1493 x4  7 K 3.72-4.15, 1 Pb 3.75, 3 Cd 3.83-4.15
K10 0.4824 0.1603 0.3143 x4  7 K 3.74-4.18, 5 Cd 3.75-4.15
K11 0.4872 0.1591 0.7492 x4  5 Cd 3.64-3.78, 1 Pb 3.69, 4 K 3.72-3.82
Cd1 0.0675 0.0836 0.7459 x4  3 Cd 3.16-3.29
Cd2 0.0781 0.4181 0.0900 x4  2 Cd 3.13-3.36, 1 Pb 3.40
Cd3 0.1580 0.1666 0.5683 x4  3 Cd 3.17-3.29
Cd4 0.2374 0.0845 0.3909 x4  3 Cd 3.17-3.23
Cd5 0.3133 0.1690 0.9097 x4  3 Cd 3.16-3.36
Cd6 0.4885 0.0000 0.5650 x2  1 Pb 3.19, 2 Cd 3.20
Pb1 0.1741 0.5000 0.9046 x2  3 Cd 3.19-3.40

(18)
Density functional theory data (PBE-GGA) for KCdPb after structural relaxation.

Calculated values
M_tot (μB per cell): 0.00
Energy relative to the lowest polymorph listed for this composition (meV/atom): 22.0
N(E_F) (states/eV per atom): 0.316
E_form (eV per atom): -0.117

a b c (Å): 5.3224 5.3224 4.0652
angles (deg): 90.00 90.00 120.00
Last column: nearest neighbours and their distance in Å.
Space group P-6m2 (No. 187)
Inequivalent atoms, fractional coordinates:
K1 0.0000 0.0000 0.0000 x1  6 Cd 3.68, 6 Pb 3.68, 2 K 4.07
Cd1 0.3333 0.6667 0.5000 x1  3 Pb 3.07
Pb1 0.6667 0.3333 0.5000 x1  3 Cd 3.07

(19)
Density functional theory data (PBE-GGA) for KCdPb3 after structural relaxation.

Calculated values
M_tot (μB per cell): 0.00
Energy relative to the lowest polymorph listed for this composition (meV/atom): 0.0
N(E_F) (states/eV per atom): 0.419
E_form (eV per atom): -0.082

a b c (Å): 7.4686 12.6181 5.0243
angles (deg): 90.00 132.22 90.00
Last column: nearest neighbours and their distance in Å.
Space group C2 (No. 5)
Inequivalent atoms, fractional coordinates:
K1 0.0000 0.0000 0.0000 x2  12 Pb 3.92-4.31, 4 Cd 4.05
Cd1 0.0000 0.6239 0.0000 x2  5 Pb 2.94-3.12
Pb1 0.0000 0.2382 0.5000 x2  2 Cd 3.12, 2 Pb 3.16
Pb2 0.0000 0.3906 0.0000 x2  1 Cd 2.94, 4 Pb 3.16-3.23
Pb3 0.0000 0.7590 0.5000 x2  2 Cd 3.04, 2 Pb 3.23

(20)
Density functional theory data (PBE-GGA) for KCd2Pb2 after structural relaxation.

Calculated values
M_tot (μB per cell): 0.00
Energy relative to the lowest polymorph listed for this composition (meV/atom): 75.0
N(E_F) (states/eV per atom): 0.450
E_form (eV per atom): -0.035

a b c (Å): 9.3358 9.3358 3.4970
angles (deg): 90.00 90.00 90.00
Last column: nearest neighbours and their distance in Å.
Space group P4/mbm (No. 127)
Inequivalent atoms, fractional coordinates:
K1 0.0000 0.0000 0.0000 x2  2 K 3.50, 4 Cd 3.64
Cd1 0.1335 0.3665 0.0000 x4  6 Pb 3.24-3.26, 3 Cd 3.50-3.53
Pb1 0.1578 0.6578 0.5000 x4  6 Cd 3.24-3.26, 2 Pb 3.50

(21)
Density functional theory data (PBE-GGA) for KCd6Pb2 after structural relaxation.

Calculated values
M_tot (μB per cell): 0.00
N(E_F) (states/eV per atom): 0.388
E_form (eV per atom): -0.017

a b c (Å): 5.1166 5.1166 10.0300
angles (deg): 90.00 90.00 90.00
Last column: nearest neighbours and their distance in Å.
Space group P4/mmm (No. 123)
Inequivalent atoms, fractional coordinates:
K1 0.0000 0.0000 0.0000 x1  8 Pb 3.96, 8 Cd 4.16
Cd1 0.0000 0.0000 0.5000 x1  8 Cd 3.09
Cd2 0.0000 0.5000 0.3272 x4  2 Pb 3.05, 4 Cd 3.09
Cd3 0.5000 0.5000 0.5000 x1  8 Cd 3.09, 2 Pb 3.40
Pb1 0.5000 0.5000 0.1613 x2  5 Cd 3.05-3.40, 1 Pb 3.24

(22)
Density functional theory data (PBE-GGA) for K3Cd8Pb3 after structural relaxation.

Calculated values
M_tot (μB per cell): 0.00
N(E_F) (states/eV per atom): 0.313
E_form (eV per atom): -0.092

a b c (Å): 5.1158 10.9357 15.1813
angles (deg): 90.00 90.00 90.00
Last column: nearest neighbours and their distance in Å.
Space group Immm (No. 71)
Inequivalent atoms, fractional coordinates:
K1 0.0000 0.0000 0.0000 x2  12 Cd 3.69-3.94, 4 Pb 4.06
K2 0.0000 0.0000 0.3066 x4  12 Cd 3.59-4.01, 4 Pb 3.74-3.89
Cd1 0.0000 0.2754 0.1401 x8  3 Cd 3.02-3.03, 3 Pb 3.25-3.33
Cd2 0.0000 0.3657 0.3281 x8  4 Cd 2.94-3.03, 1 Pb 3.11
Pb1 0.0000 0.2118 0.5000 x4  6 Cd 3.11-3.33, 2 Pb 3.45
Pb2 0.0000 0.5000 0.0000 x2  4 Cd 3.25, 4 Pb 3.45